No. 1
DFT (PBE) results for crystalline SrSb4Au at its relaxed geometry.

Cell: 6.282 6.282 6.282 Å, 60.00 60.00 60.00°
Fractional coordinates of all 6 atoms:
Sr: 0.750 0.750 0.750
Sb: 0.880 0.373 0.373
Sb: 0.373 0.373 0.880
Sb: 0.373 0.880 0.373
Sb: 0.373 0.373 0.373
Au: 0.000 0.000 0.000

Computed properties:
density of states at the Fermi level: 0.26 states/eV per atom
ΔE_f (raw): -0.127 eV per atom

***

No. 2
DFT (PBE) results for crystalline SrSbAu2 at its relaxed geometry.

Cell: 5.149 5.149 9.976 Å, 75.04 75.04 90.00°
Fractional coordinates of all 8 atoms:
Sb: 0.000 0.000 0.000
Sb: 0.750 0.250 0.500
Au: 0.751 0.125 0.250
Au: 0.999 0.625 0.250
Au: 0.375 0.249 0.750
Au: 0.875 0.001 0.750
Sr: 0.500 0.500 0.000
Sr: 0.250 0.750 0.500

Computed properties:
density of states at the Fermi level: 0.48 states/eV per atom
ΔE_f (raw): -0.433 eV per atom

***

No. 3
DFT (PBE) results for crystalline SrSbAu2 at its relaxed geometry.

Cell: 4.835 3.707 5.853 Å, 90.02 90.00 90.00°
Fractional coordinates of all 4 atoms:
Au: 0.000 0.250 0.987
Au: 0.000 0.250 0.513
Sb: 0.500 0.250 0.250
Sr: 0.500 0.750 0.750

Computed properties:
density of states at the Fermi level: 0.23 states/eV per atom
ΔE_f (raw): -0.546 eV per atom

***

No. 4
DFT (PBE) results for crystalline SrSb2Au2 at its relaxed geometry.

Cell: 8.099 8.099 3.862 Å, 90.00 90.00 90.00°
Fractional coordinates of all 10 atoms:
Sb: 0.185 0.685 0.500
Sb: 0.685 0.815 0.500
Sb: 0.815 0.315 0.500
Sb: 0.315 0.185 0.500
Au: 0.378 0.878 0.000
Au: 0.878 0.622 0.000
Au: 0.622 0.122 0.000
Au: 0.122 0.378 0.000
Sr: 0.000 0.000 0.000
Sr: 0.500 0.500 0.000

Computed properties:
density of states at the Fermi level: 0.56 states/eV per atom
ΔE_f (raw): -0.366 eV per atom

***

No. 5
DFT (PBE) results for crystalline Sr2SbAu at its relaxed geometry.

Cell: 6.706 6.706 9.637 Å, 69.64 69.64 90.00°
Fractional coordinates of all 8 atoms:
Sb: 0.500 0.500 0.000
Sb: 0.250 0.750 0.500
Au: 0.000 0.000 0.000
Au: 0.750 0.250 0.500
Sr: 0.626 0.125 0.250
Sr: 0.124 0.625 0.250
Sr: 0.375 0.374 0.750
Sr: 0.875 0.876 0.750

Computed properties:
density of states at the Fermi level: 0.00 states/eV per atom
ΔE_f (raw): -0.503 eV per atom

***

No. 6
DFT (PBE) results for crystalline SrSbAu2 at its relaxed geometry.

Cell: 4.651 6.232 7.390 Å, 90.00 90.00 111.91°
Fractional coordinates of all 8 atoms:
Sr: 0.928 0.855 0.250
Sr: 0.072 0.145 0.750
Sb: 0.217 0.433 0.250
Sb: 0.783 0.567 0.750
Au: 0.381 0.762 0.945
Au: 0.619 0.238 0.055
Au: 0.619 0.238 0.445
Au: 0.381 0.762 0.555

Computed properties:
density of states at the Fermi level: 0.52 states/eV per atom
ΔE_f (raw): -0.608 eV per atom

***

Q: The highest ΔE_f (raw) belongs to which entry?
A: SrSb4Au